Material: AgP2
Method: DFT, PBE
State: optimized geometry

a = 4.594 Å, b = 6.179 Å, c = 4.092 Å
α = 90.00°, β = 90.00°, γ = 90.00°
Sites, in units of the cell vectors:
Ag: 0.000 0.000 0.000
Ag: 0.500 0.500 0.500
P: 0.179 0.395 0.000
P: 0.321 0.895 0.500
P: 0.679 0.105 0.500
P: 0.821 0.605 0.000

Output
Energy above the most stable polymorph in this dataset = 28.0 kJ per mole of atoms
DFT total energy = -4.27 eV/atom
Spin magnetization = 0.0 μB per formula unit
Space group = Pnnm, No. 58